No. 1
The following is a DFT calculation (PBE with a Hubbard U) of HfMnF3 after structural relaxation.

Cell and atoms, written as CIF:
```
data_HfMnF3
_chemical_formula_sum 'Hf1 Mn1 F3'
_cell_length_a 4.255
_cell_length_b 4.255
_cell_length_c 4.255
_cell_angle_alpha 90.00
_cell_angle_beta 90.00
_cell_angle_gamma 90.00
_symmetry_space_group_name_H-M 'P m -3 m'
_symmetry_Int_Tables_number 221
_symmetry_space_group_name_Hall '-P 4 2 3'
loop_
_atom_site_label
_atom_site_fract_x
_atom_site_fract_y
_atom_site_fract_z
_atom_site_occupancy
Hf1 0.000 0.000 0.000 1
Mn1 0.500 0.500 0.500 1
F1 0.000 0.500 0.500 1
```

Calculated values
Offset from the most stable computed form ... 512 meV/atom
Calculated density ... 6.26 g/cm³
Calculated volume ... 77 Å³/f.u.

***

No. 2
The following is a DFT calculation (PBE with a Hubbard U) of HfMnNF2 after structural relaxation.

Cell and atoms, written as CIF:
```
data_HfMnNF2
_chemical_formula_sum 'Hf1 Mn1 N1 F2'
_cell_length_a 4.225
_cell_length_b 4.225
_cell_length_c 4.197
_cell_angle_alpha 90.00
_cell_angle_beta 90.00
_cell_angle_gamma 90.00
_symmetry_space_group_name_H-M 'P 4/m m m'
_symmetry_Int_Tables_number 123
_symmetry_space_group_name_Hall '-P 4 2'
loop_
_atom_site_label
_atom_site_fract_x
_atom_site_fract_y
_atom_site_fract_z
_atom_site_occupancy
Hf1 0.000 0.000 0.000 1
Mn1 0.500 0.500 0.500 1
N1 0.000 0.000 0.500 1
F1 0.000 0.500 0.000 1
```

Calculated values
Offset from the most stable computed form ... 0 meV/atom
Calculated density ... 6.33 g/cm³
Calculated volume ... 75 Å³/f.u.

***

No. 3
The following is a DFT calculation (PBE with a Hubbard U) of HfMnNF2 after structural relaxation.

Cell and atoms, written as CIF:
```
data_HfMnNF2
_chemical_formula_sum 'Hf1 Mn1 N1 F2'
_cell_length_a 3.748
_cell_length_b 3.748
_cell_length_c 4.969
_cell_angle_alpha 90.00
_cell_angle_beta 90.00
_cell_angle_gamma 90.00
_symmetry_space_group_name_H-M 'P 4/m m m'
_symmetry_Int_Tables_number 123
_symmetry_space_group_name_Hall '-P 4 2'
loop_
_atom_site_label
_atom_site_fract_x
_atom_site_fract_y
_atom_site_fract_z
_atom_site_occupancy
Hf1 0.000 0.000 0.000 1
Mn1 0.500 0.500 0.500 1
N1 0.500 0.500 0.000 1
F1 0.000 0.500 0.500 1
```

Calculated values
Offset from the most stable computed form ... 662 meV/atom
Calculated density ... 6.79 g/cm³
Calculated volume ... 70 Å³/f.u.

***

No. 4
The following is a DFT calculation (PBE with a Hubbard U) of HfMnO2F after structural relaxation.

Cell and atoms, written as CIF:
```
data_HfMnO2F
_chemical_formula_sum 'Hf1 Mn1 O2 F1'
_cell_length_a 4.118
_cell_length_b 4.118
_cell_length_c 4.248
_cell_angle_alpha 90.00
_cell_angle_beta 90.00
_cell_angle_gamma 90.00
_symmetry_space_group_name_H-M 'P 4/m m m'
_symmetry_Int_Tables_number 123
_symmetry_space_group_name_Hall '-P 4 2'
loop_
_atom_site_label
_atom_site_fract_x
_atom_site_fract_y
_atom_site_fract_z
_atom_site_occupancy
Hf1 0.000 0.000 0.000 1
Mn1 0.500 0.500 0.500 1
O1 0.000 0.500 0.000 1
F1 0.000 0.000 0.500 1
```

Calculated values
Calculated density ... 6.56 g/cm³
Calculated volume ... 72 Å³/f.u.
E_tot ... -0.600 Ry/atom